DFT (PBEsol) results for crystalline InBr2N at its relaxed geometry.

space-group type	Fd-3m (227)
E_form (uncorrected)	0.6331	eV per atom

Lattice parameters (Å, degrees): 6.703 6.703 6.703 60.00 60.00 60.00
Sites, in units of the cell vectors:
N 0.250 0.250 0.250
N 0.000 0.000 0.000
Br 0.125 0.125 0.625
Br 0.125 0.125 0.125
Br 0.625 0.125 0.125
Br 0.125 0.625 0.125
In 0.750 0.750 0.750
In 0.500 0.500 0.500